[1]
VASP calculation (PBE) on a geometry-optimized Pr8Zn2Hg structure.

Unit cell a=5.159 b=8.658 c=15.094 alpha=90.00 beta=90.00 gamma=90.00
Space group Immm (No. 71)
Inequivalent atoms, fractional coordinates:
Pr: 0.000 0.000 0.138 [4 per cell]
Pr: 0.000 0.220 0.337 [8 per cell]
Pr: 0.000 0.321 0.000 [4 per cell]
Zn: 0.000 0.500 0.194 [4 per cell]
Hg: 0.000 0.500 0.500 [2 per cell]

Computed properties:
Formation enthalpy at 0 K in kJ/mol of atoms: -10
Offset from the most stable computed form in kJ/mol of atoms: 5.2

=====

[2]
VASP calculation (PBE) on a geometry-optimized TlPtW2 structure.

Unit cell a=2.836 b=2.836 c=8.630 alpha=90.00 beta=90.00 gamma=90.00
Space group P4/mmm (No. 123)
Inequivalent atoms, fractional coordinates:
Tl: 0.000 0.000 0.000 [1 per cell]
Pt: 0.000 0.000 0.500 [1 per cell]
W: 0.500 0.500 0.268 [2 per cell]

Computed properties:
Formation enthalpy at 0 K in kJ/mol of atoms: 56
Offset from the most stable computed form in kJ/mol of atoms: 18.6

=====

[3]
VASP calculation (PBE) on a geometry-optimized AlTl3Ge structure.

Unit cell a=5.380 b=5.380 c=5.380 alpha=90.00 beta=90.00 gamma=90.00
Space group Pm-3m (No. 221)
Inequivalent atoms, fractional coordinates:
Al: 0.000 0.000 0.000 [1 per cell]
Tl: 0.000 0.000 0.500 [3 per cell]
Ge: 0.500 0.500 0.500 [1 per cell]

Computed properties:
Formation enthalpy at 0 K in kJ/mol of atoms: 52
Offset from the most stable computed form in kJ/mol of atoms: 0.0

=====

[4]
VASP calculation (PBE) on a geometry-optimized Ti4FeRh structure.

Unit cell a=3.027 b=3.027 c=9.692 alpha=90.00 beta=90.00 gamma=90.00
Space group P4/mmm (No. 123)
Inequivalent atoms, fractional coordinates:
Ti: 0.000 0.000 0.150 [2 per cell]
Ti: 0.500 0.500 0.334 [2 per cell]
Fe: 0.500 0.500 0.000 [1 per cell]
Rh: 0.000 0.000 0.500 [1 per cell]

Computed properties:
Formation enthalpy at 0 K in kJ/mol of atoms: -41
Offset from the most stable computed form in kJ/mol of atoms: 0.0

=====

[5]
VASP calculation (PBE) on a geometry-optimized SrPtBr2 structure.

Unit cell a=4.7608 b=4.7608 c=15.5533 alpha=90.00 beta=90.00 gamma=120.00
Space group R-3m (No. 166, hexagonal axes)
Inequivalent atoms, fractional coordinates:
Sr: 0.0000 0.0000 0.0000 [3 per cell]
Pt: 0.0000 0.0000 0.5000 [3 per cell]
Br: 0.0000 0.0000 0.2374 [6 per cell]

Computed properties:
Formation energy from raw total energies in eV per atom: -0.724
Offset from the most stable computed form in kJ/mol of atoms: 40.5

=====

[6]
VASP calculation (PBE) on a geometry-optimized MgSn2BiIr structure.

Unit cell a=5.167 b=5.167 c=5.308 alpha=90.00 beta=90.00 gamma=90.00
Space group P4/mmm (No. 123)
Inequivalent atoms, fractional coordinates:
Mg: 0.000 0.000 0.000 [1 per cell]
Sn: 0.000 0.500 0.000 [2 per cell]
Bi: 0.000 0.000 0.500 [1 per cell]
Ir: 0.500 0.500 0.500 [1 per cell]

Computed properties:
Formation enthalpy at 0 K in kJ/mol of atoms: 113

=====

[7]
VASP calculation (PBE) on a geometry-optimized AcPmPr3Ho structure.

Unit cell a=20.943 b=5.944 c=7.131 alpha=90.00 beta=91.49 gamma=90.00
Space group C2/m (No. 12)
Inequivalent atoms, fractional coordinates:
Ac: 0.148 0.000 0.032 [4 per cell]
Pm: 0.056 0.500 0.284 [4 per cell]
Pr: 0.016 0.000 0.744 [4 per cell]
Pr: 0.160 0.500 0.744 [4 per cell]
Pr: 0.219 0.500 0.277 [4 per cell]
Ho: 0.142 0.000 0.489 [4 per cell]

Computed properties:
Formation enthalpy at 0 K in kJ/mol of atoms: 18

=====

[8]
VASP calculation (PBE) on a geometry-optimized In6Cu structure.

Unit cell a=8.216 b=8.216 c=8.216 alpha=90.00 beta=90.00 gamma=90.00
Space group Im-3m (No. 229)
Inequivalent atoms, fractional coordinates:
In: 0.000 0.250 0.500 [12 per cell]
Cu: 0.000 0.000 0.000 [2 per cell]

Computed properties:
Formation enthalpy at 0 K in kJ/mol of atoms: 69

=====

| no. | density of states at the Fermi level (states/eV/atom) | theoretical density (kg/m3) |
| --- | --- | --- |
| 1 | 1.1996 | 7186 |
| 2 | 0.6081 | 18349 |
| 3 | 0.6261 | 7602 |
| 4 | 0.9280 | 6549 |
| 5 | 0.3620 | 7221 |
| 6 | 0.5721 | 7767 |
| 7 | 1.4468 | 7184 |
| 8 | 0.9721 | 4506 |